1.
Entry from the Alexandria database: a relaxed structure of Hg3Mo5 (GGA-PBE).

a = 8.258 Å, b = 8.610 Å, c = 3.900 Å
α = 90.00°, β = 90.00°, γ = 90.00°
Space group Cmmm (No. 65)
Inequivalent atoms, fractional coordinates:
Hg 0.000 0.000 0.000 (multiplicity 2)
Hg 0.248 0.500 0.500 (multiplicity 4)
Mo 0.000 0.266 0.500 (multiplicity 4)
Mo 0.000 0.500 0.000 (multiplicity 2)
Mo 0.250 0.250 0.000 (multiplicity 4)

Computed properties:
Size of the total moment in μB/f.u.: 0.000
Total energy in eV per atom: -6.34

2.
Entry from the Alexandria database: a relaxed structure of Hg4Mo5 (GGA-PBE).

a = 8.1813 Å, b = 8.1813 Å, c = 5.5727 Å
α = 90.00°, β = 90.00°, γ = 120.00°
Space group P6_3/mcm (No. 193)
Inequivalent atoms, fractional coordinates:
Hg 0.0000 0.0000 0.0000 (multiplicity 2)
Hg 0.0000 0.3658 0.2500 (multiplicity 6)
Mo 0.0000 0.3073 0.7500 (multiplicity 6)
Mo 0.3333 0.6667 0.0000 (multiplicity 4)

Computed properties:
Size of the total moment in μB/f.u.: 0.001
Total energy in eV per atom: -5.36

3.
Entry from the Alexandria database: a relaxed structure of Hg2Mo (GGA-PBE).

a = 5.093 Å, b = 5.093 Å, c = 2.769 Å
α = 90.00°, β = 90.00°, γ = 90.00°
Space group P4/mmm (No. 123)
Inequivalent atoms, fractional coordinates:
Hg 0.000 0.500 0.000 (multiplicity 2)
Mo 0.000 0.000 0.500 (multiplicity 1)

Computed properties:
Size of the total moment in μB/f.u.: 0.745
Total energy in eV per atom: -3.27

4.
Entry from the Alexandria database: a relaxed structure of Hg2Mo (GGA-PBE).

a = 2.910 Å, b = 2.910 Å, c = 13.858 Å
α = 90.00°, β = 90.00°, γ = 90.00°
Space group I4/mmm (No. 139)
Inequivalent atoms, fractional coordinates:
Hg 0.000 0.000 0.157 (multiplicity 4)
Mo 0.000 0.000 0.500 (multiplicity 2)

Computed properties:
Size of the total moment in μB/f.u.: 0.000
Total energy in eV per atom: -3.23

5.
Entry from the Alexandria database: a relaxed structure of HgMo5 (GGA-PBE).

a = 5.2950 Å, b = 5.2950 Å, c = 4.4866 Å
α = 90.00°, β = 90.00°, γ = 120.00°
Space group P6/mmm (No. 191)
Inequivalent atoms, fractional coordinates:
Hg 0.0000 0.0000 0.0000 (multiplicity 1)
Mo 0.0000 0.5000 0.5000 (multiplicity 3)
Mo 0.3333 0.6667 0.0000 (multiplicity 2)

Computed properties:
Size of the total moment in μB/f.u.: 0.000
Total energy in eV per atom: -8.45

6.
Entry from the Alexandria database: a relaxed structure of HgMo (GGA-PBE).

a = 3.750 Å, b = 4.202 Å, c = 4.589 Å
α = 90.00°, β = 90.00°, γ = 90.00°
Space group Cmmm (No. 65)
Inequivalent atoms, fractional coordinates:
Hg 0.000 0.000 0.000 (multiplicity 2)
Mo 0.000 0.500 0.500 (multiplicity 2)

Computed properties:
Size of the total moment in μB/f.u.: 0.000
Total energy in eV per atom: -4.92